Entry 1:
Computed, not measured: a relaxed CdCuPt2 crystal at the PBE level of DFT.

Cell lengths 4.8504, 4.8504, 4.8504 Å; angles 130.93, 130.93, 71.93 degrees
Positions (direct):
1 Cd 0.0000 0.0000 0.0000
2 Cu 0.2500 0.7500 0.5000
3 Pt 0.5000 0.5000 0.0000
4 Pt 0.7500 0.2500 0.5000

## Properties
Fermi-level density of states, states/eV/cell: 2.50
Spin magnetization, μB per atom: 0.000
Formation energy, eV per atom: -0.1461

***

Entry 2:
Computed, not measured: a relaxed Np3As5Se12 crystal at the PBE level of DFT.

Cell lengths 14.1370, 14.1370, 14.1370 Å; angles 109.47, 109.47, 109.47 degrees
Positions (direct):
1 Np 0.1250 0.2500 0.3750
2 Np 0.1250 0.3750 0.7500
3 Np 0.2500 0.3750 0.1250
4 Np 0.2500 0.8750 0.6250
5 Np 0.3750 0.1250 0.2500
6 Np 0.3750 0.7500 0.1250
7 Np 0.6250 0.2500 0.8750
8 Np 0.6250 0.8750 0.7500
9 Np 0.7500 0.1250 0.3750
10 Np 0.7500 0.6250 0.8750
11 Np 0.8750 0.6250 0.2500
12 Np 0.8750 0.7500 0.6250
13 As 0.0000 0.0000 0.0000
14 As 0.0000 0.0000 0.5000
15 As 0.0000 0.5000 0.0000
16 As 0.0000 0.5000 0.5000
17 As 0.1250 0.7500 0.8750
18 As 0.1250 0.8750 0.2500
19 As 0.2500 0.1250 0.8750
20 As 0.2500 0.6250 0.3750
21 As 0.3750 0.2500 0.6250
22 As 0.3750 0.6250 0.7500
23 As 0.5000 0.0000 0.0000
24 As 0.5000 0.0000 0.5000
25 As 0.5000 0.5000 0.0000
26 As 0.5000 0.5000 0.5000
27 As 0.6250 0.3750 0.2500
28 As 0.6250 0.7500 0.3750
29 As 0.7500 0.3750 0.6250
30 As 0.7500 0.8750 0.1250
31 As 0.8750 0.1250 0.7500
32 As 0.8750 0.2500 0.1250
33 Se 0.0442 0.2150 0.1318
34 Se 0.0442 0.3292 0.9124
35 Se 0.0832 0.7150 0.6708
36 Se 0.0832 0.8682 0.4124
37 Se 0.0876 0.6318 0.4168
38 Se 0.0876 0.9558 0.6708
39 Se 0.1318 0.0442 0.2150
40 Se 0.1318 0.5876 0.9168
41 Se 0.1708 0.2150 0.5832
42 Se 0.1708 0.4558 0.5876
43 Se 0.2150 0.1318 0.0442
44 Se 0.2150 0.5832 0.1708
45 Se 0.2850 0.3292 0.9168
46 Se 0.2850 0.4558 0.3682
47 Se 0.3292 0.9124 0.0442
48 Se 0.3292 0.9168 0.2850
49 Se 0.3682 0.2850 0.4558
50 Se 0.3682 0.5832 0.9124
51 Se 0.4124 0.0832 0.8682
52 Se 0.4124 0.8292 0.5442
53 Se 0.4168 0.0876 0.6318
54 Se 0.4168 0.8292 0.7850
55 Se 0.4558 0.3682 0.2850
56 Se 0.4558 0.5876 0.1708
57 Se 0.5442 0.4124 0.8292
58 Se 0.5442 0.6318 0.7150
59 Se 0.5832 0.1708 0.2150
60 Se 0.5832 0.9124 0.3682
61 Se 0.5876 0.1708 0.4558
62 Se 0.5876 0.9168 0.1318
63 Se 0.6318 0.4168 0.0876
64 Se 0.6318 0.7150 0.5442
65 Se 0.6708 0.0832 0.7150
66 Se 0.6708 0.0876 0.9558
67 Se 0.7150 0.5442 0.6318
68 Se 0.7150 0.6708 0.0832
69 Se 0.7850 0.4168 0.8292
70 Se 0.7850 0.8682 0.9558
71 Se 0.8292 0.5442 0.4124
72 Se 0.8292 0.7850 0.4168
73 Se 0.8682 0.4124 0.0832
74 Se 0.8682 0.9558 0.7850
75 Se 0.9124 0.0442 0.3292
76 Se 0.9124 0.3682 0.5832
77 Se 0.9168 0.1318 0.5876
78 Se 0.9168 0.2850 0.3292
79 Se 0.9558 0.6708 0.0876
80 Se 0.9558 0.7850 0.8682

## Properties
Total energy, eV per atom: -5.571
Fermi-level density of states, states/eV/cell: 107.38
Spin magnetization, μB per atom: 0.601